Computed, not measured: crystalline SnPdPb2 at its relaxed geometry at the PBE level of DFT.

Unit cell a=3.3301 b=3.3301 c=33.5648 alpha=90.00 beta=90.00 gamma=120.00
Closest atoms and distances in Å follow each position.
Space group R-3m (No. 166, hexagonal axes)
One atom of each set of equivalent atoms:
Sn1 0.0000 0.0000 0.0000 [3 per cell]  6 Sn 3.33, 6 Pb 3.47
Pd1 0.0000 0.0000 0.5000 [3 per cell]  2 Pb 2.70
Pb1 0.0000 0.0000 0.4195 [6 per cell]  1 Pd 2.70

Computed properties:
**Energy of formation from the pure elements**: 179 meV per atom

---

Computed, not measured: crystalline LiAl6Cr at its relaxed geometry at the PBE level of DFT.

Unit cell a=5.5645 b=5.5645 c=3.9212 alpha=90.00 beta=90.00 gamma=90.00
Closest atoms and distances in Å follow each position.
Space group P4/mmm (No. 123)
One atom of each set of equivalent atoms:
Li1 0.0000 0.0000 0.0000 [1 per cell]  12 Al 2.78-2.80
Al1 0.0000 0.5000 0.0000 [2 per cell]  8 Al 2.78, 2 Cr 2.78, 2 Li 2.78
Al2 0.2540 0.2540 0.5000 [4 per cell]  8 Al 2.74-2.83, 2 Cr 2.76, 2 Li 2.80
Cr1 0.5000 0.5000 0.0000 [1 per cell]  12 Al 2.76-2.78

Computed properties:
**Energy of formation from the pure elements**: -118 meV per atom
**Energy above the most stable polymorph in this dataset**: 0 meV/atom

---

Computed, not measured: crystalline InGeAs2Se at its relaxed geometry at the PBE level of DFT.

Unit cell a=5.0881 b=5.0881 c=5.1765 alpha=90.00 beta=90.00 gamma=90.00
Closest atoms and distances in Å follow each position.
Space group P4/mmm (No. 123)
One atom of each set of equivalent atoms:
In1 0.0000 0.0000 0.0000 [1 per cell]  4 Se 3.60, 8 As 3.63
Ge1 0.5000 0.5000 0.5000 [1 per cell]  4 As 2.54, 2 Se 2.59
As1 0.0000 0.5000 0.5000 [2 per cell]  2 Ge 2.54
Se1 0.5000 0.5000 0.0000 [1 per cell]  2 Ge 2.59

Computed properties:
**ΔE_f (raw)**: 461 meV/atom
**Energy above the most stable polymorph in this dataset**: 0 meV/atom